DFT (PBE-GGA) results for an optimized crystal structure of CeTlCuAu.

Computed properties:
Magnetic moment: 0.57 μB per cell
DFT formation energy: -0.291 eV per atom

abc: 4.9721 4.9721 4.9721
angles: 60.00 60.00 60.00
Site moments in Bohr magnetons follow the coordinates.
Atoms (fractional coordinates):
Tl1 0.5000 0.5000 0.5000  0.00
Au1 0.7500 0.7500 0.7500  -0.01
Cu1 0.2500 0.2500 0.2500  -0.01
Ce1 0.0000 0.0000 0.0000  0.55